SmMn5Co7 | meta-GGA SCAN | PBEsol geometry

VASP energy = -19.693 eV/atom
ΔE_f = 0.06 eV per atom

Cell lengths 4.5297, 8.1661, 8.2514 Å; angles 90.00, 90.00, 90.00 degrees
Closest atoms and distances in Å follow each position.
Space group Imm2 (No. 44)
Inequivalent atoms, fractional coordinates:
Sm  0.0000  0.0000  0.0000 x2  10 Co 2.91-3.00, 10 Mn 3.00-3.13
Mn  0.0000  0.5000  0.2614 x2  4 Mn 2.32, 4 Co 2.49-2.50
Mn  0.2490  0.2521  0.2461 x8  3 Mn 2.26-2.32, 7 Co 2.36-2.52
Co  0.0000  0.0000  0.3569 x2  5 Co 2.31-2.50, 4 Mn 2.52
Co  0.0000  0.0000  0.6368 x2  3 Co 2.31-2.50, 6 Mn 2.49
Co  0.0000  0.2719  0.4971 x4  4 Mn 2.36, 4 Co 2.50
Co  0.0000  0.3569  0.9937 x4  4 Co 2.34-2.50, 5 Mn 2.50-2.52
Co  0.0000  0.5000  0.7283 x2  4 Mn 2.36, 4 Co 2.48-2.50



SiAs2P | meta-GGA SCAN | PBEsol geometry

ΔE_f (raw) = 2.7 eV/f.u.
VASP energy = -14.518 eV/atom

Cell lengths 6.3693, 6.3693, 6.3693 Å; angles 90.00, 90.00, 90.00 degrees
Closest atoms and distances in Å follow each position.
Space group Fm-3m (No. 225)
Inequivalent atoms, fractional coordinates:
Si  0.0000  0.0000  0.0000 x4  8 As 2.76
As  0.2500  0.2500  0.2500 x8  4 Si 2.76, 4 P 2.76
P  0.0000  0.0000  0.5000 x4  8 As 2.76



RbZn13 | meta-GGA SCAN | PBEsol geometry

VASP energy = -14.125 eV/atom
ΔE_f = -0.09 eV per atom

Cell lengths 12.1421, 12.1421, 12.1421 Å; angles 90.00, 90.00, 90.00 degrees
Closest atoms and distances in Å follow each position.
Space group Fm-3c (No. 226)
Inequivalent atoms, fractional coordinates:
Rb  0.2500  0.2500  0.2500 x8  24 Zn 3.53
Zn  0.0000  0.0000  0.0000 x8  12 Zn 2.62
Zn  0.0000  0.1189  0.1798 x96  9 Zn 2.55-2.72